No. 1
PrCuSe2: optimized geometry, PBE.

Values from the calculation:
Total energy: -0.358 Ry per atom

Cell and atoms, written as CIF:
```
data_PrCuSe2
_cell_length_a 6.079
_cell_length_b 6.079
_cell_length_c 12.606
_cell_angle_alpha 90.00
_cell_angle_beta 90.00
_cell_angle_gamma 90.00
_space_group_name_H-M_alt 'I -4 2 d'
_space_group_IT_number 122
_space_group_name_Hall 'I -4 2bw'
loop_
_atom_site_label
_atom_site_type_symbol
_atom_site_fract_x
_atom_site_fract_y
_atom_site_fract_z
_atom_site_occupancy
Pr1 Pr 0.000 0.000 0.000 1
Cu1 Cu 0.000 0.000 0.500 1
Se1 Se 0.196 0.750 0.625 1
```

=====

No. 2
TaFeCoAs: optimized geometry, PBE.

Values from the calculation:
Energy relative to the lowest polymorph listed for this composition: 0.00 eV per formula unit

Cell and atoms, written as CIF:
```
data_TaFeCoAs
_cell_length_a 5.981
_cell_length_b 5.981
_cell_length_c 5.981
_cell_angle_alpha 90.00
_cell_angle_beta 90.00
_cell_angle_gamma 90.00
_space_group_name_H-M_alt 'F -4 3 m'
_space_group_IT_number 216
_space_group_name_Hall 'F -4 2 3'
loop_
_atom_site_label
_atom_site_type_symbol
_atom_site_fract_x
_atom_site_fract_y
_atom_site_fract_z
_atom_site_occupancy
Ta1 Ta 0.000 0.000 0.000 1
Fe1 Fe 0.250 0.250 0.250 1
Co1 Co 0.250 0.250 0.750 1
As1 As 0.000 0.000 0.500 1
```

=====

No. 3
ErSb: optimized geometry, PBE.

Values from the calculation:
Total energy: -0.361 Ry per atom

Cell and atoms, written as CIF:
```
data_ErSb
_cell_length_a 6.900
_cell_length_b 6.900
_cell_length_c 6.900
_cell_angle_alpha 90.00
_cell_angle_beta 90.00
_cell_angle_gamma 90.00
_space_group_name_H-M_alt 'F -4 3 m'
_space_group_IT_number 216
_space_group_name_Hall 'F -4 2 3'
loop_
_atom_site_label
_atom_site_type_symbol
_atom_site_fract_x
_atom_site_fract_y
_atom_site_fract_z
_atom_site_occupancy
Er1 Er 0.000 0.000 0.000 1
Sb1 Sb 0.250 0.250 0.750 1
```

=====

Number 1: total magnetization 0.0 μB/f.u.. Number 2: total magnetization 2.2 μB/f.u.. Number 3: total magnetization 0.0 μB/f.u..